BaAlRe2W (PBE, optimized geometry); energy relative to the elements = 3.81 eV/atom; calculated total energy = -24.442 eV/cell
1.0
4.9195 0.0000 0.0000
0.0000 4.9037 0.0000
0.0000 0.0000 4.9195
Re Ba W Al
2 1 1 1
direct
0.0000 0.0000 0.5000 Re
0.5000 0.0000 0.0000 Re
0.0000 0.0000 0.0000 Ba
0.5000 0.5000 0.5000 W
0.0000 0.5000 0.0000 Al